Entry from Alexandria via LeMat-Bulk: crystalline CdPd2Pb at its relaxed geometry (GGA-PBE).

Properties
* energy of formation from the pure elements: -0.104 eV/atom
* calculated volume: 21.7 A^3/atom
* E_tot: -3.86 eV per atom
* N(E_F): 3.69 states/eV/cell

Lattice parameters (Å, degrees): 4.3230 4.3230 16.0628 90.00 90.00 120.00
Space group R3m (No. 160, hexagonal axes)
Symmetry-distinct sites (fractional):
1 Cd 0.0000 0.0000 0.0000 x3
2 Pd 0.0000 0.0000 0.5887 x3
3 Pd 0.0000 0.0000 0.7666 x3
4 Pb 0.0000 0.0000 0.1846 x3